Computed, not measured: crystalline KLiReBr2 at its relaxed geometry at the PBE-GGA level of DFT.

Structure (POSCAR):
```
KLiReBr2
1.0
5.172 0.000 0.000
0.000 5.172 0.000
0.000 0.000 5.882
K Li Re Br
1 1 1 2
Direct
0.000 0.000 0.000
0.000 0.000 0.500
0.500 0.500 0.000
0.000 0.500 0.500
0.500 0.000 0.500
```

## Properties
Crystal system: tetragonal
Total moment (μB/cell): 5.000
Formation energy (no corrections) (kJ per mole of atoms): 46.7
Relative energy among the computed polymorphs (eV per atom): 0.000
ρ (g/cm3): 4.137